(1)
DFT (PBE) results for a relaxed structure of SrIn2Cl.

Geometry as POSCAR:
```
SrIn2Cl
1.0
-3.477 2.014 1.390
0.349 -1.947 3.694
4.402 3.392 6.099
Sr In Cl
1 2 1
Direct
0.000 0.413 0.588
0.500 0.320 0.178
0.000 0.910 0.088
0.500 0.856 0.646
```

M_tot, Bohr magnetons per cell: 0.0
Raw formation energy, eV/atom: -0.8199
Space-group type: Pm
DOS(E_F), states/eV/cell: 1.34

(2)
DFT (PBE) results for a relaxed structure of AcTcGe.

Geometry as POSCAR:
```
AcTcGe
1.0
-1.395 0.443 3.117
-3.128 -0.575 -1.318
2.832 -5.408 0.134
Tc Ge Ac
1 1 1
Direct
0.705 0.705 0.410
0.291 0.291 0.582
0.004 0.004 0.008
```

M_tot, Bohr magnetons per cell: 0.0
Space-group type: I4mm
Formation energy from the elements, eV per atom: -0.12
DOS(E_F), states/eV/cell: 1.53

(3)
DFT (PBE) results for a relaxed structure of PaGaSb2.

Geometry as POSCAR:
```
PaGaSb2
1.0
-2.248 -2.576 2.076
-0.454 -2.245 -3.278
5.082 -3.223 1.503
Sb Ga Pa
2 1 1
Direct
0.000 0.000 0.752
0.000 0.000 0.248
0.500 0.500 0.000
0.500 0.500 0.500
```

M_tot, Bohr magnetons per cell: 0.0
Raw formation energy, eV/atom: -0.3404
Space-group type: P4/mmm
DOS(E_F), states/eV/cell: 4.77

Calculated values (Ha/atom) of DFT total energy for the records, taken in order: -0.1129; -0.2382; -0.2033.